1.
A relaxed structure of Al2IrOs. Source: the Alexandria database, functional PBE.

abc: 6.1598 6.1598 6.1598
angles: 90.00 90.00 90.00
Closest atoms and distances in Å follow each position.
Space group F-43m (No. 216)
Asymmetric unit:
Al 0.0000 0.0000 0.0000  4 Al 2.67, 4 Ir 2.67
Al 0.2500 0.2500 0.2500  4 Os 2.67, 4 Al 2.67
Ir 0.2500 0.2500 0.7500  4 Os 2.67, 4 Al 2.67
Os 0.0000 0.0000 0.5000  4 Ir 2.67, 4 Al 2.67

Calculated values
The value obtained for the total energy is -6.9489 eV/atom. For the energy relative to the elements, the calculation gives -55 meV/atom.

2.
A relaxed structure of La2Al6Ni3. Source: the Alexandria database, functional PBE.

abc: 7.6273 7.6273 4.1198
angles: 90.00 90.00 120.00
Closest atoms and distances in Å follow each position.
Space group P-62m (No. 189)
Asymmetric unit:
La 0.3333 0.6667 0.0000  9 Al 3.17-3.39, 6 Ni 3.18
Al 0.0000 0.2005 0.0000  2 Ni 2.41, 2 Al 2.65
Al 0.0000 0.7041 0.5000  3 Ni 2.57-2.58, 4 Al 2.87
Ni 0.0000 0.3658 0.5000  5 Al 2.41-2.58

Calculated values
The value obtained for the total energy is -4.9837 eV/atom. For the energy relative to the elements, the calculation gives -470 meV/atom.

3.
A relaxed structure of Tl2In2RuO6. Source: the Alexandria database, functional PBE.

abc: 5.6987 9.7946 6.7378
angles: 90.00 105.40 90.00
Closest atoms and distances in Å follow each position.
Space group C2/m (No. 12)
Asymmetric unit:
Tl 0.0000 0.1665 0.0000  6 O 2.82-3.01
In 0.0000 0.3347 0.5000  6 O 2.24
Ru 0.0000 0.0000 0.5000  6 O 2.04-2.05
O 0.2043 0.1543 0.6624  1 Ru 2.04, 2 In 2.24
O 0.2478 0.5000 0.6666  1 Ru 2.05, 2 In 2.24

Calculated values
The value obtained for the total energy is -5.5481 eV/atom.

4.
A relaxed structure of TbPmUN3. Source: the Alexandria database, functional PBE.

abc: 6.0049 3.4924 9.0783
angles: 90.00 102.06 90.00
Closest atoms and distances in Å follow each position.
Space group P2_1/m (No. 11)
Asymmetric unit:
Tb 0.1440 0.2500 0.1396  5 N 2.37-2.51
Pm 0.3480 0.2500 0.8123  7 N 2.54-2.81
U 0.2361 0.7500 0.4566  4 N 2.21-2.42
N 0.0368 0.7500 0.6351  3 U 2.21-2.42
N 0.2507 0.7500 0.9926  3 Tb 2.37-2.42, 2 Pm 2.54
N 0.4575 0.2500 0.3580  3 U 2.22-2.47, 1 Tb 2.43

Calculated values
The value obtained for the total energy is -8.9410 eV/atom.

5.
A relaxed structure of Tb3Zn2Au. Source: the Alexandria database, functional PBE.

abc: 5.0941 5.0941 6.2074
angles: 90.00 90.00 120.00
Closest atoms and distances in Å follow each position.
Space group P-3m1 (No. 164)
Asymmetric unit:
Tb 0.0000 0.0000 0.0000  6 Zn 3.09, 2 Au 3.10
Tb 0.3333 0.6667 0.6636  5 Zn 3.02-3.18, 3 Au 3.11
Zn 0.3333 0.6667 0.1505  8 Tb 3.02-3.18
Au 0.0000 0.0000 0.5000  8 Tb 3.10-3.11

Calculated values
The value obtained for the total energy is -3.7952 eV/atom. For the energy relative to the elements, the calculation gives -509 meV/atom.

6.
A relaxed structure of Ca3MgTi. Source: the Alexandria database, functional PBE.

abc: 5.8426 5.8426 5.8426
angles: 90.00 90.00 90.00
Closest atoms and distances in Å follow each position.
Space group Pm-3m (No. 221)
Asymmetric unit:
Ca 0.0000 0.0000 0.5000  2 Ti 2.92
Mg 0.5000 0.5000 0.5000  12 Ca 4.13
Ti 0.0000 0.0000 0.0000  6 Ca 2.92

Calculated values
The value obtained for the total energy is -2.3617 eV/atom. For the energy relative to the elements, the calculation gives 737 meV/atom.